Record 1
Material: ZrIr2Os
Method: DFT, GGA-PBE
State: relaxed

Geometry as POSCAR:
```
ZrIr2Os
1.0
3.380 0.000 0.000
0.000 3.380 0.000
0.000 0.000 5.796
Ir Os Zr
2 1 1
direct
0.000 0.000 0.005 Ir
0.500 0.500 0.270 Ir
0.000 0.000 0.466 Os
0.500 0.500 0.759 Zr
```

Results
The raw total energy is -37.776 eV per cell. The crystal system is tetragonal. The value obtained for the magnetization is 0.68 μB/f.u. As for the space-group type: P4mm (99). For the density of states at the Fermi level, the calculation gives 1.32 states/eV/atom.

Record 2
Material: YCdPO2
Method: DFT, GGA-PBE
State: relaxed

Geometry as POSCAR:
```
YCdPO2
1.0
-0.032 -0.177 4.247
-1.831 -3.833 -0.173
5.353 -2.555 -0.066
Y P O Cd
1 1 2 1
direct
0.000 0.000 0.000 Y
0.000 0.000 0.500 P
0.000 0.500 0.000 O
0.500 0.000 0.000 O
0.500 0.500 0.500 Cd
```

Results
The value obtained for the formation energy without anion corrections is -20.2 kcal/mol of atoms. The crystal system is tetragonal. The value obtained for the magnetization is 1.27 μB/f.u. As for the space-group type: P4/mmm (123). For the density of states at the Fermi level, the calculation gives 0.91 states/eV/atom.

Record 3
Material: Ce2Th3Te8
Method: DFT, GGA-PBE
State: relaxed

Geometry as POSCAR:
```
Ce2Th3Te8
1.0
7.536 0.000 0.325
0.000 8.881 0.000
-2.686 -4.440 7.542
Ce Th Te
2 3 8
direct
0.328 0.247 0.494 Ce
0.672 0.753 0.506 Ce
0.500 0.000 0.000 Th
0.000 0.250 0.000 Th
0.000 0.750 0.000 Th
0.902 0.614 0.228 Te
0.098 0.386 0.772 Te
0.909 0.125 0.251 Te
0.091 0.875 0.749 Te
0.585 0.627 0.758 Te
0.585 0.131 0.758 Te
0.415 0.869 0.242 Te
0.415 0.373 0.242 Te
```

Results
The value obtained for the formation energy without anion corrections is -26.6 kcal/mol of atoms. The crystal system is monoclinic. The value obtained for the magnetization is 2.89 μB/f.u. As for the space-group type: C2/m (12). For the density of states at the Fermi level, the calculation gives 1.55 states/eV/atom.

no.,volume (A^3/atom)
1,16.55
2,21.44
3,39.43